Entry 1:
This record from the Alexandria database describes RbGe2SbCl8 after structural relaxation. The functional is PBE. Values from VASP.

- raw formation energy (eV/atom) = -1.003

Geometry as Quantum ESPRESSO input:
```
&SYSTEM
  ibrav = 0, nat = 12, ntyp = 4
/
ATOMIC_SPECIES
Cl 35.45 Cl.upf
Sb 121.76 Sb.upf
Ge 72.64 Ge.upf
Rb 85.47 Rb.upf
CELL_PARAMETERS angstrom
7.0529 0.3379 0.1109
0.4122 6.4441 -0.1263
0.1617 -0.2012 9.3320
ATOMIC_POSITIONS crystal
Cl 0.8689 0.2752 0.2143
Cl 0.7998 0.2057 0.8065
Cl 0.2002 0.7943 0.1935
Cl 0.3623 0.2777 0.5819
Cl 0.7014 0.7704 0.0380
Cl 0.2986 0.2296 0.9620
Cl 0.6377 0.7223 0.4181
Cl 0.1311 0.7248 0.7857
Sb 0.0000 0.0000 0.0000
Ge 0.5645 0.5535 0.2115
Ge 0.4355 0.4465 0.7885
Rb 0.0000 0.0000 0.5000
```

=====

Entry 2:
This record from the Alexandria database describes AcPrAl2 after structural relaxation. The functional is PBE. Values from VASP.

- energy of formation from the pure elements (eV per atom) = -0.275

Geometry as Quantum ESPRESSO input:
```
&SYSTEM
  ibrav = 0, nat = 4, ntyp = 3
/
ATOMIC_SPECIES
Pr 140.91 Pr.upf
Al 26.98 Al.upf
Ac 227.00 Ac.upf
CELL_PARAMETERS angstrom
3.8740 0.0000 0.0000
0.0000 3.8740 0.0000
0.0000 0.0000 7.6549
ATOMIC_POSITIONS crystal
Pr 0.5000 0.5000 0.0000
Al 0.0000 0.0000 0.2286
Al 0.0000 0.0000 0.7714
Ac 0.5000 0.5000 0.5000
```

=====

Entry 3:
This record from the Alexandria database describes Ac4La6Pm after structural relaxation. The functional is PBE. Values from VASP.

- energy of formation from the pure elements (eV per atom) = 0.210

Geometry as Quantum ESPRESSO input:
```
&SYSTEM
  ibrav = 0, nat = 11, ntyp = 3
/
ATOMIC_SPECIES
La 138.91 La.upf
Ac 227.00 Ac.upf
Pm 145.00 Pm.upf
CELL_PARAMETERS angstrom
7.7919 -2.6810 -5.4596
-5.2882 8.2037 1.5632
-1.7282 2.6810 9.3560
ATOMIC_POSITIONS crystal
La 0.0000 0.4409 0.7664
La 0.5000 0.0000 0.5000
La 0.3255 0.5591 0.5591
La 0.5000 0.5000 0.0000
La 0.6745 0.2336 0.2336
La 0.0000 0.7664 0.4409
Ac 0.0000 0.6288 0.0055
Ac 0.6233 0.9945 0.9945
Ac 0.0000 0.0055 0.6288
Ac 0.3767 0.3712 0.3712
Pm 0.0000 0.0000 0.0000
```

=====

Entry 4:
This record from the Alexandria database describes CaMgCr2 after structural relaxation. The functional is PBE. Values from VASP.

- energy of formation from the pure elements (eV per atom) = 0.757

Geometry as Quantum ESPRESSO input:
```
&SYSTEM
  ibrav = 0, nat = 4, ntyp = 3
/
ATOMIC_SPECIES
Cr 52.00 Cr.upf
Ca 40.08 Ca.upf
Mg 24.30 Mg.upf
CELL_PARAMETERS angstrom
5.2898 -0.0260 0.0399
4.2558 3.1418 0.0399
1.1260 0.3675 5.4403
ATOMIC_POSITIONS crystal
Cr 0.9897 0.9897 0.0297
Cr 0.5103 0.5103 0.4703
Ca 0.7500 0.7500 0.7500
Mg 0.2500 0.2500 0.2500
```

=====

Entry 5:
This record from the Alexandria database describes ScW2Se after structural relaxation. The functional is PBE. Values from VASP.

- raw formation energy (eV/atom) = 0.424

Geometry as Quantum ESPRESSO input:
```
&SYSTEM
  ibrav = 0, nat = 4, ntyp = 3
/
ATOMIC_SPECIES
Sc 44.96 Sc.upf
W 183.84 W.upf
Se 78.96 Se.upf
CELL_PARAMETERS angstrom
-0.8901 2.8199 -0.4522
-1.7399 0.1290 4.2296
4.5510 1.7283 1.8194
ATOMIC_POSITIONS crystal
Sc 0.5000 0.5000 0.2500
W 0.0000 0.0000 0.4943
W 0.0000 0.0000 0.0057
Se 0.5000 0.5000 0.7500
```

=====

Entry 6:
This record from the Alexandria database describes Dy2SnHg2 after structural relaxation. The functional is PBE. Values from VASP.

- energy of formation from the pure elements (eV per atom) = -0.459
- energy above the lowest structure with this stoichiometry (meV per atom) = 0.0

Geometry as Quantum ESPRESSO input:
```
&SYSTEM
  ibrav = 0, nat = 10, ntyp = 3
/
ATOMIC_SPECIES
Hg 200.59 Hg.upf
Dy 162.50 Dy.upf
Sn 118.71 Sn.upf
CELL_PARAMETERS angstrom
4.5410 0.0000 0.0000
2.2705 5.6829 -0.5438
2.2705 -0.1139 10.1405
ATOMIC_POSITIONS crystal
Hg 0.9043 0.7354 0.4559
Hg 0.3410 0.2108 0.1072
Hg 0.0957 0.2646 0.5441
Hg 0.6590 0.7892 0.8928
Dy 0.9174 0.2610 0.9042
Dy 0.6776 0.3204 0.3245
Dy 0.3224 0.6796 0.6755
Dy 0.0826 0.7390 0.0958
Sn 0.4036 0.8830 0.3097
Sn 0.5964 0.1170 0.6903
```

=====

Entry 7:
This record from the Alexandria database describes BeHgTe2N after structural relaxation. The functional is PBE. Values from VASP.

- raw formation energy (eV/atom) = 0.362
- energy above the lowest structure with this stoichiometry (meV per atom) = 0.0

Geometry as Quantum ESPRESSO input:
```
&SYSTEM
  ibrav = 0, nat = 5, ntyp = 4
/
ATOMIC_SPECIES
Te 127.60 Te.upf
Be 9.01 Be.upf
N 14.01 N.upf
Hg 200.59 Hg.upf
CELL_PARAMETERS angstrom
-4.1858 3.2582 -2.2590
-0.5847 -3.7564 -4.3344
-2.1248 -1.5810 1.6568
ATOMIC_POSITIONS crystal
Te 0.5000 0.0000 0.0000
Te 0.0000 0.5000 0.0000
Be 0.0000 0.0000 0.0000
N 0.0000 0.0000 0.5000
Hg 0.5000 0.5000 0.5000
```

=====

Entry 8:
This record from the Alexandria database describes YNi3Sn after structural relaxation. The functional is PBE. Values from VASP.

- energy of formation from the pure elements (eV per atom) = 0.297
- energy above the lowest structure with this stoichiometry (meV per atom) = 399.2

Geometry as Quantum ESPRESSO input:
```
&SYSTEM
  ibrav = 0, nat = 5, ntyp = 3
/
ATOMIC_SPECIES
Ni 58.69 Ni.upf
Sn 118.71 Sn.upf
Y 88.91 Y.upf
CELL_PARAMETERS angstrom
-2.7639 3.6543 -0.8483
-2.5951 -1.1014 3.7101
2.7091 2.6731 2.6885
ATOMIC_POSITIONS crystal
Ni 0.0000 0.5000 0.0000
Ni 0.5000 0.0000 0.0000
Ni 0.0000 0.0000 0.5000
Sn 0.0000 0.0000 0.0000
Y 0.5000 0.5000 0.5000
```

=====

no.,magnetization (μB/f.u.),uncorrected energy (eV per atom)
1,0.0,-3.43
2,0.0,-4.37
3,0.0,-4.40
4,8.1,-4.95
5,0.0,-8.51
6,0.0,-3.22
7,0.0,-3.36
8,0.0,-5.26